# CsGeNF2

Crystalline CsGeNF2 at its relaxed geometry (GGA-PBE, the Alexandria database).

```
data_CsGeNF2
_space_group_name_H-M_alt 'P 4/m m m'
_space_group_IT_number 123
_space_group_name_Hall '-P 4 2'
_cell_length_a 4.745
_cell_length_b 4.745
_cell_length_c 3.468
_cell_angle_alpha 90.00
_cell_angle_beta 90.00
_cell_angle_gamma 90.00
loop_
_atom_site_label
_atom_site_type_symbol
_atom_site_fract_x
_atom_site_fract_y
_atom_site_fract_z
Cs1 Cs 0.000 0.000 0.000
Ge1 Ge 0.500 0.500 0.500
N1 N 0.500 0.500 0.000
F1 F 0.000 0.500 0.500
```

## Properties
ΔE_f (raw)   -1.18 eV per atom
Distance to the lowest polymorph of the same formula   0.00 kcal/mol of atoms
Raw total energy   -4.6882 eV/atom
Mass density   5.5 g/cm³


# CsGeN2F

Crystalline CsGeN2F at its relaxed geometry (GGA-PBE, the Alexandria database).

```
data_CsGeN2F
_space_group_name_H-M_alt 'P 4/m m m'
_space_group_IT_number 123
_space_group_name_Hall '-P 4 2'
_cell_length_a 4.401
_cell_length_b 4.401
_cell_length_c 4.982
_cell_angle_alpha 90.00
_cell_angle_beta 90.00
_cell_angle_gamma 90.00
loop_
_atom_site_label
_atom_site_type_symbol
_atom_site_fract_x
_atom_site_fract_y
_atom_site_fract_z
Cs1 Cs 0.000 0.000 0.000
Ge1 Ge 0.500 0.500 0.500
N1 N 0.000 0.500 0.000
F1 F 0.000 0.000 0.500
```

## Properties
ΔE_f (raw)   1.73 eV per atom
Distance to the lowest polymorph of the same formula   37.68 kcal/mol of atoms
Raw total energy   -3.0712 eV/atom
Mass density   4.3 g/cm³


# Cs5GeO4F2

Crystalline Cs5GeO4F2 at its relaxed geometry (GGA-PBE, the Alexandria database).

```
data_Cs5GeO4F2
_space_group_name_H-M_alt 'A m m 2'
_space_group_IT_number 38
_cell_length_a 8.347
_cell_length_b 10.907
_cell_length_c 7.069
_cell_angle_alpha 90.00
_cell_angle_beta 90.00
_cell_angle_gamma 90.00
loop_
_space_group_symop_operation_xyz
'x,y,z'
'-x,-y,z'
'-x,y,z'
'x,-y,z'
'x,y+1/2,z+1/2'
'-x,-y+1/2,z+1/2'
'-x,y+1/2,z+1/2'
'x,-y+1/2,z+1/2'
loop_
_atom_site_label
_atom_site_type_symbol
_atom_site_fract_x
_atom_site_fract_y
_atom_site_fract_z
Cs1 Cs 0.000 0.000 0.000
Cs2 Cs 0.268 0.182 0.483
Ge1 Ge 0.500 0.000 0.983
O1 O 0.331 0.000 0.142
O2 O 0.500 0.132 0.833
F1 F 0.000 0.218 0.747
```

## Properties
ΔE_f (raw)   -1.85 eV per atom
Raw total energy   -4.5517 eV/atom
Mass density   4.3 g/cm³


# Cs2GeOF6

Crystalline Cs2GeOF6 at its relaxed geometry (GGA-PBE, the Alexandria database).

```
data_Cs2GeOF6
_space_group_name_H-M_alt 'I 4/m m m'
_space_group_IT_number 139
_space_group_name_Hall '-I 4 2'
_cell_length_a 6.373
_cell_length_b 6.373
_cell_length_c 9.712
_cell_angle_alpha 90.00
_cell_angle_beta 90.00
_cell_angle_gamma 90.00
loop_
_atom_site_label
_atom_site_type_symbol
_atom_site_fract_x
_atom_site_fract_y
_atom_site_fract_z
Cs1 Cs 0.000 0.500 0.250
Ge1 Ge 0.000 0.000 0.000
O1 O 0.000 0.000 0.500
F1 F 0.000 0.000 0.189
F2 F 0.204 0.204 0.000
```

## Properties
ΔE_f (raw)   -2.20 eV per atom
Raw total energy   -4.4542 eV/atom
Mass density   3.9 g/cm³


# CsGePdF6

Crystalline CsGePdF6 at its relaxed geometry (GGA-PBE, the Alexandria database).

```
data_CsGePdF6
_space_group_name_H-M_alt 'P 1'
_space_group_IT_number 1
_cell_length_a 5.807
_cell_length_b 5.916
_cell_length_c 6.025
_cell_angle_alpha 90.67
_cell_angle_beta 118.48
_cell_angle_gamma 90.71
loop_
_space_group_symop_operation_xyz
'x,y,z'
loop_
_atom_site_label
_atom_site_type_symbol
_atom_site_fract_x
_atom_site_fract_y
_atom_site_fract_z
Cs1 Cs 0.000 0.000 0.000
Ge1 Ge 0.357 0.511 0.668
Pd1 Pd 0.649 0.508 0.303
F1 F 0.101 0.652 0.397
F2 F 0.116 0.358 0.719
F3 F 0.374 0.284 0.468
F4 F 0.383 0.744 0.880
F5 F 0.617 0.662 0.619
F6 F 0.626 0.371 0.953
```

## Properties
ΔE_f (raw)   -2.14 eV per atom
Raw total energy   -4.5747 eV/atom
Mass density   3.9 g/cm³


# CsGe2PtF

Crystalline CsGe2PtF at its relaxed geometry (GGA-PBE, the Alexandria database).

```
data_CsGe2PtF
_space_group_name_H-M_alt 'P 4/m m m'
_space_group_IT_number 123
_space_group_name_Hall '-P 4 2'
_cell_length_a 4.684
_cell_length_b 4.684
_cell_length_c 5.364
_cell_angle_alpha 90.00
_cell_angle_beta 90.00
_cell_angle_gamma 90.00
loop_
_atom_site_label
_atom_site_type_symbol
_atom_site_fract_x
_atom_site_fract_y
_atom_site_fract_z
Cs1 Cs 0.000 0.000 0.000
Ge1 Ge 0.000 0.500 0.500
Pt1 Pt 0.500 0.500 0.000
F1 F 0.000 0.000 0.500
```

## Properties
ΔE_f (raw)   0.06 eV per atom
Raw total energy   -3.5366 eV/atom
Mass density   6.9 g/cm³


# Cs2ScGeF6

Crystalline Cs2ScGeF6 at its relaxed geometry (GGA-PBE, the Alexandria database).

```
data_Cs2ScGeF6
_space_group_name_H-M_alt 'I 4/m m m'
_space_group_IT_number 139
_space_group_name_Hall '-I 4 2'
_cell_length_a 6.931
_cell_length_b 6.931
_cell_length_c 8.568
_cell_angle_alpha 90.00
_cell_angle_beta 90.00
_cell_angle_gamma 90.00
loop_
_atom_site_label
_atom_site_type_symbol
_atom_site_fract_x
_atom_site_fract_y
_atom_site_fract_z
Cs1 Cs 0.000 0.500 0.250
Sc1 Sc 0.000 0.000 0.000
Ge1 Ge 0.000 0.000 0.500
F1 F 0.000 0.000 0.243
F2 F 0.207 0.207 0.000
```

## Properties
ΔE_f (raw)   -2.82 eV per atom
Raw total energy   -5.2133 eV/atom
Mass density   4.0 g/cm³


# CsZnGeTeF

Crystalline CsZnGeTeF at its relaxed geometry (GGA-PBE, the Alexandria database).

```
data_CsZnGeTeF
_space_group_name_H-M_alt 'P 1'
_space_group_IT_number 1
_cell_length_a 4.747
_cell_length_b 4.985
_cell_length_c 7.910
_cell_angle_alpha 73.53
_cell_angle_beta 85.06
_cell_angle_gamma 64.40
loop_
_space_group_symop_operation_xyz
'x,y,z'
loop_
_atom_site_label
_atom_site_type_symbol
_atom_site_fract_x
_atom_site_fract_y
_atom_site_fract_z
Cs1 Cs 0.000 0.000 0.000
Zn1 Zn 0.719 0.419 0.446
Ge1 Ge 0.280 0.312 0.388
Te1 Te 0.647 0.805 0.643
F1 F 0.389 0.184 0.170
```

## Properties
ΔE_f (raw)   -1.00 eV per atom
Distance to the lowest polymorph of the same formula   0.36 kcal/mol of atoms
Raw total energy   -3.3539 eV/atom
Mass density   4.3 g/cm³